# 1
A relaxed LaSnBRu2 crystal, computed with PBE-GGA.

The structure in POSCAR format:
```
LaSnBRu2
1.0
4.4092 0.0000 0.0000
0.0000 4.4092 0.0000
0.0000 0.0000 4.6206
La Sn B Ru
1 1 1 2
direct
0.0000 0.0000 0.0000
0.5000 0.5000 0.0000
0.5000 0.5000 0.5000
0.0000 0.5000 0.5000
0.5000 0.0000 0.5000
```

Values from the calculation:
Energy of formation = 7.71 kJ/mol of atoms
Total magnetic moment = 0.0 μB/f.u.
Calculated total energy = -33.76 eV/f.u.
Symmetry = P4/mmm (123)

***

# 2
A relaxed KCrOs crystal, computed with PBE-GGA.

The structure in POSCAR format:
```
KCrOs
1.0
2.8035 0.0000 0.0000
-1.4018 2.4279 0.0000
0.0000 0.0000 7.9187
K Cr Os
1 1 1
direct
0.0000 0.0000 0.0000
0.3333 0.6667 0.6122
0.6667 0.3333 0.3745
```

Values from the calculation:
ΔE to the lowest computed polymorph = 0.53 eV/f.u.
Energy of formation = 99.37 kJ/mol of atoms
Total magnetic moment = 0.0 μB/f.u.
Calculated total energy = -18.86 eV/f.u.
Symmetry = P3m1 (156)

***

# 3
A relaxed Sr2DyRu3O12 crystal, computed with PBE-GGA.

The structure in POSCAR format:
```
Sr2DyRu3O12
1.0
3.6561 2.1108 5.1488
-3.6561 2.1108 5.1488
0.0000 -4.2217 5.1488
Sr Dy Ru O
2 1 3 12
direct
0.1130 0.1130 0.1130
0.8870 0.8870 0.8870
0.5000 0.5000 0.5000
0.0000 0.5000 0.5000
0.5000 0.0000 0.5000
0.5000 0.5000 0.0000
0.0824 0.6401 0.6401
0.2216 0.2216 0.6172
0.2216 0.6172 0.2216
0.3599 0.3599 0.9176
0.3599 0.9176 0.3599
0.3828 0.7784 0.7784
0.6172 0.2216 0.2216
0.6401 0.0824 0.6401
0.6401 0.6401 0.0824
0.7784 0.3828 0.7784
0.7784 0.7784 0.3828
0.9176 0.3599 0.3599
```

Values from the calculation:
Total magnetic moment = 3.8 μB/f.u.
Calculated total energy = -124.17 eV/f.u.
Symmetry = R-3m (166)
Formation energy without anion corrections = -1604 meV per atom

***

# 4
A relaxed MgPaFePt crystal, computed with PBE-GGA.

The structure in POSCAR format:
```
MgPaFePt
1.0
0.0000 3.3269 3.3269
3.3269 0.0000 3.3269
3.3269 3.3269 0.0000
Mg Pa Fe Pt
1 1 1 1
direct
0.0000 0.0000 0.0000
0.5000 0.5000 0.5000
0.7500 0.7500 0.7500
0.2500 0.2500 0.2500
```

Values from the calculation:
Energy of formation = -33.83 kJ/mol of atoms
Total magnetic moment = 1.4 μB/f.u.
Calculated total energy = -27.00 eV/f.u.
Symmetry = F-43m (216)

***

# 5
A relaxed SiPRu crystal, computed with PBE-GGA.

The structure in POSCAR format:
```
SiPRu
1.0
3.6892 -1.7063 0.0000
3.6892 1.7063 0.0000
-1.8248 0.0000 3.5372
Si P Ru
1 1 1
direct
0.0000 0.0000 0.0000
0.5468 0.5468 0.6004
0.7797 0.7797 0.2986
```

Values from the calculation:
Total magnetic moment = 0.0 μB/f.u.
Calculated total energy = -20.73 eV/f.u.
Symmetry = Cm (8)
Formation energy without anion corrections = -207 meV per atom

***

# 6
A relaxed Na2TlCuF6 crystal, computed with PBE-GGA.

The structure in POSCAR format:
```
Na2TlCuF6
1.0
5.6944 0.0000 0.0000
0.0000 5.8589 0.0000
-5.1890 0.0000 8.5304
Na Tl Cu F
4 2 2 12
direct
0.2160 0.0583 0.2409
0.2160 0.4417 0.7409
0.7840 0.5583 0.2591
0.7840 0.9417 0.7591
0.5000 0.0000 0.0000
0.5000 0.5000 0.5000
0.0000 0.0000 0.5000
0.0000 0.5000 0.0000
0.1047 0.2173 0.9302
0.1047 0.2827 0.4302
0.2003 0.6858 0.9235
0.2003 0.8142 0.4235
0.3845 0.0702 0.7444
0.3845 0.4298 0.2444
0.6155 0.5702 0.7556
0.6155 0.9298 0.2556
0.7997 0.1858 0.5765
0.7997 0.3142 0.0765
0.8953 0.7173 0.5698
0.8953 0.7827 0.0698
```

Values from the calculation:
ΔE to the lowest computed polymorph = 0.00 eV/f.u.
Total magnetic moment = 0.3 μB/f.u.
Calculated total energy = -41.08 eV/f.u.
Symmetry = P2_1/c (14)
Formation energy without anion corrections = -2076 meV per atom

***

# 7
A relaxed NdDy3Cu crystal, computed with PBE-GGA.

The structure in POSCAR format:
```
NdDy3Cu
1.0
5.3901 0.0000 0.0000
0.0000 5.3901 0.0000
0.0000 0.0000 5.3901
Nd Dy Cu
1 3 1
direct
0.0000 0.0000 0.0000
0.0000 0.5000 0.5000
0.5000 0.0000 0.5000
0.5000 0.5000 0.0000
0.5000 0.5000 0.5000
```

Values from the calculation:
Energy of formation = 7.79 kJ/mol of atoms
Total magnetic moment = 0.0 μB/f.u.
Calculated total energy = -22.27 eV/f.u.
Symmetry = Pm-3m (221)

***

# 8
A relaxed CdHgP2 crystal, computed with PBE-GGA.

The structure in POSCAR format:
```
CdHgP2
1.0
-1.9169 2.6623 3.9833
1.9169 -2.6623 3.9833
1.9169 2.6623 -3.9833
Cd Hg P
1 1 2
direct
0.0000 0.0000 0.0000
0.5000 0.5000 0.0000
0.2581 0.7581 0.5000
0.7419 0.2419 0.5000
```

Values from the calculation:
ΔE to the lowest computed polymorph = 2.02 eV/f.u.
Energy of formation = 53.57 kJ/mol of atoms
Total magnetic moment = 0.0 μB/f.u.
Calculated total energy = -9.82 eV/f.u.
Symmetry = Immm (71)

***

# 9
A relaxed Hf5NbSb2 crystal, computed with PBE-GGA.

The structure in POSCAR format:
```
Hf5NbSb2
1.0
2.5155 -5.3253 0.0000
2.5155 5.3253 0.0000
0.0000 0.0000 13.2233
Hf Nb Sb
10 2 4
direct
0.0567 0.9433 0.7500
0.1136 0.8864 0.0499
0.1136 0.8864 0.4501
0.4165 0.5835 0.1008
0.4165 0.5835 0.3992
0.5835 0.4165 0.6008
0.5835 0.4165 0.8992
0.8864 0.1136 0.5499
0.8864 0.1136 0.9501
0.9433 0.0567 0.2500
0.2233 0.7767 0.2500
0.7767 0.2233 0.7500
0.2897 0.7103 0.6230
0.2897 0.7103 0.8770
0.7103 0.2897 0.1230
0.7103 0.2897 0.3770
```

Values from the calculation:
Total magnetic moment = 0.0 μB/f.u.
Calculated total energy = -68.94 eV/f.u.
Symmetry = Cmcm (63)
Formation energy without anion corrections = -107 meV per atom

***

# 10
A relaxed NdSmGa crystal, computed with PBE-GGA.

The structure in POSCAR format:
```
NdSmGa
1.0
3.7319 0.0000 0.0000
-1.8659 3.2319 0.0000
0.0000 0.0000 7.5323
Nd Sm Ga
1 1 1
direct
0.0000 0.0000 0.0000
0.3333 0.6667 0.5836
0.6667 0.3333 0.2952
```

Values from the calculation:
ΔE to the lowest computed polymorph = 0.59 eV/f.u.
Energy of formation = -19.35 kJ/mol of atoms
Total magnetic moment = 0.5 μB/f.u.
Calculated total energy = -13.12 eV/f.u.
Symmetry = P3m1 (156)

***

# 11
A relaxed AcSm5Sb6 crystal, computed with PBE-GGA.

The structure in POSCAR format:
```
AcSm5Sb6
1.0
3.9229 -6.7956 0.0000
3.9229 6.7956 0.0000
-2.6231 0.0000 7.3956
Ac Sm Sb
1 5 6
direct
0.0000 0.0000 0.0000
0.1634 0.8366 0.5000
0.3322 0.6678 0.0000
0.5000 0.5000 0.5000
0.6678 0.3322 0.0000
0.8366 0.1634 0.5000
0.0859 0.4288 0.2570
0.2588 0.2588 0.7462
0.4288 0.0859 0.2570
0.5712 0.9141 0.7430
0.7412 0.7412 0.2538
0.9141 0.5712 0.7430
```

Values from the calculation:
Total magnetic moment = 0.0 μB/f.u.
Calculated total energy = -66.45 eV/f.u.
Symmetry = C2/m (12)
Formation energy without anion corrections = -1168 meV per atom

***

# 12
A relaxed Nd2TlC2 crystal, computed with PBE-GGA.

The structure in POSCAR format:
```
Nd2TlC2
1.0
8.4324 -1.9590 0.0000
8.4324 1.9590 0.0000
-2.2292 0.0000 6.7206
Nd Tl C
4 2 4
direct
0.0052 0.6858 0.8748
0.3142 0.9948 0.6252
0.6858 0.0052 0.3748
0.9948 0.3142 0.1252
0.4602 0.5398 0.2500
0.5398 0.4602 0.7500
0.1414 0.4027 0.4716
0.4027 0.1414 0.9716
0.5973 0.8586 0.0284
0.8586 0.5973 0.5284
```

Values from the calculation:
Energy of formation = -24.28 kJ/mol of atoms
Total magnetic moment = 0.0 μB/f.u.
Calculated total energy = -31.61 eV/f.u.
Symmetry = C2/c (15)

***

# 13
A relaxed Dy2NiI crystal, computed with PBE-GGA.

The structure in POSCAR format:
```
Dy2NiI
1.0
2.0058 1.1580 7.8357
-2.0058 1.1580 7.8357
0.0000 -2.3161 7.8357
Dy Ni I
2 1 1
direct
0.2263 0.2263 0.2263
0.7737 0.7737 0.7737
0.5000 0.5000 0.5000
0.0000 0.0000 0.0000
```

Values from the calculation:
ΔE to the lowest computed polymorph = 0.00 eV/f.u.
Total magnetic moment = 0.0 μB/f.u.
Calculated total energy = -19.22 eV/f.u.
Symmetry = R-3m (166)
Formation energy without anion corrections = -672 meV per atom

***

# 14
A relaxed Mg8SnPd2 crystal, computed with PBE-GGA.

The structure in POSCAR format:
```
Mg8SnPd2
1.0
4.0609 -6.0869 0.0000
4.0609 6.0869 0.0000
-1.2844 0.0000 4.8322
Mg Sn Pd
8 1 2
direct
0.0641 0.3265 0.5831
0.2489 0.7511 0.0000
0.3265 0.0641 0.5831
0.3864 0.3864 0.1982
0.6136 0.6136 0.8018
0.6735 0.9359 0.4169
0.7511 0.2489 0.0000
0.9359 0.6735 0.4169
0.0000 0.0000 0.0000
0.3167 0.6833 0.5000
0.6833 0.3167 0.5000
```

Values from the calculation:
ΔE to the lowest computed polymorph = 0.10 eV/f.u.
Energy of formation = -30.17 kJ/mol of atoms
Total magnetic moment = 0.0 μB/f.u.
Calculated total energy = -30.58 eV/f.u.
Symmetry = C2/m (12)

***

# 15
A relaxed LiRuRh2 crystal, computed with PBE-GGA.

The structure in POSCAR format:
```
LiRuRh2
1.0
1.3656 0.7884 8.6930
-1.3656 0.7884 8.6930
0.0000 -1.5768 8.6930
Li Ru Rh
1 1 2
direct
0.0000 0.0000 0.0000
0.5000 0.5000 0.5000
0.2486 0.2486 0.2486
0.7514 0.7514 0.7514
```

Values from the calculation:
ΔE to the lowest computed polymorph = 0.17 eV/f.u.
Energy of formation = 2.86 kJ/mol of atoms
Total magnetic moment = 0.0 μB/f.u.
Calculated total energy = -25.77 eV/f.u.
Symmetry = R-3m (166)

***

# 16
A relaxed Ce3TiGa12 crystal, computed with PBE-GGA.

The structure in POSCAR format:
```
Ce3TiGa12
1.0
4.2740 0.0000 0.0000
0.0000 4.2740 0.0000
0.0000 0.0000 16.9247
Ce Ti Ga
3 1 12
direct
0.0000 0.0000 0.0000
0.0000 0.0000 0.2614
0.0000 0.0000 0.7386
0.0000 0.0000 0.5000
0.0000 0.5000 0.1298
0.0000 0.5000 0.3885
0.0000 0.5000 0.6115
0.0000 0.5000 0.8702
0.5000 0.0000 0.1298
0.5000 0.0000 0.3885
0.5000 0.0000 0.6115
0.5000 0.0000 0.8702
0.5000 0.5000 0.0000
0.5000 0.5000 0.2534
0.5000 0.5000 0.5000
0.5000 0.5000 0.7466
```

Values from the calculation:
Energy of formation = -44.20 kJ/mol of atoms
Total magnetic moment = 1.3 μB/f.u.
Calculated total energy = -69.35 eV/f.u.
Symmetry = P4/mmm (123)

***

# 17
A relaxed Ho2ErSb crystal, computed with PBE-GGA.

The structure in POSCAR format:
```
Ho2ErSb
1.0
1.9871 1.1472 9.3731
-1.9871 1.1472 9.3731
0.0000 -2.2945 9.3731
Ho Er Sb
2 1 1
direct
0.0000 0.0000 0.0000
0.1962 0.1962 0.1962
0.4319 0.4319 0.4319
0.5976 0.5976 0.5976
```

Values from the calculation:
ΔE to the lowest computed polymorph = 0.65 eV/f.u.
Total magnetic moment = 0.7 μB/f.u.
Calculated total energy = -19.07 eV/f.u.
Symmetry = R3m (160)
Formation energy without anion corrections = -308 meV per atom

***

# 18
A relaxed LaCd3Mo crystal, computed with PBE-GGA.

The structure in POSCAR format:
```
LaCd3Mo
1.0
5.9951 0.0000 0.0000
0.0000 5.9951 0.0000
0.0000 0.0000 5.9951
La Cd Mo
1 3 1
direct
0.0000 0.0000 0.0000
0.0000 0.0000 0.5000
0.0000 0.5000 0.0000
0.5000 0.0000 0.0000
0.5000 0.5000 0.5000
```

Values from the calculation:
ΔE to the lowest computed polymorph = 5.43 eV/f.u.
Energy of formation = 153.43 kJ/mol of atoms
Total magnetic moment = 3.9 μB/f.u.
Calculated total energy = -10.55 eV/f.u.
Symmetry = Pm-3m (221)

***

# 19
A relaxed RbUGeS5 crystal, computed with PBE-GGA.

The structure in POSCAR format:
```
RbUGeS5
1.0
4.4611 -5.8342 0.0000
4.4611 5.8342 0.0000
-4.1154 0.0000 8.8178
Rb U Ge S
2 2 2 10
direct
0.1569 0.8431 0.7500
0.8431 0.1569 0.2500
0.5000 0.5000 0.0000
0.5000 0.5000 0.5000
0.1926 0.8074 0.2500
0.8074 0.1926 0.7500
0.1183 0.2741 0.9216
0.1884 0.6044 0.3878
0.2741 0.1183 0.4216
0.3956 0.8116 0.1122
0.4326 0.5674 0.7500
0.5674 0.4326 0.2500
0.6044 0.1884 0.8878
0.7259 0.8817 0.5784
0.8116 0.3956 0.6122
0.8817 0.7259 0.0784
```

Values from the calculation:
Total magnetic moment = 1.0 μB/f.u.
Calculated total energy = -44.64 eV/f.u.
Symmetry = C2/c (15)
Formation energy without anion corrections = -891 meV per atom

***

# 20
A relaxed KSb2Rh2 crystal, computed with PBE-GGA.

The structure in POSCAR format:
```
KSb2Rh2
1.0
8.2062 0.0000 0.0000
0.0000 8.2062 0.0000
0.0000 0.0000 3.1372
K Sb Rh
2 4 4
direct
0.0000 0.0000 0.0000
0.5000 0.5000 0.0000
0.1514 0.3486 0.5000
0.3486 0.8486 0.5000
0.6514 0.1514 0.5000
0.8486 0.6514 0.5000
0.1262 0.6262 0.0000
0.3738 0.1262 0.0000
0.6262 0.8738 0.0000
0.8738 0.3738 0.0000
```

Values from the calculation:
Total magnetic moment = 0.0 μB/f.u.
Calculated total energy = -25.10 eV/f.u.
Symmetry = P4/mbm (127)
Formation energy without anion corrections = -211 meV per atom